A plane-wave DFT calculation with PBE-GGA was carried out for a relaxed Ta2CdMo crystal.

abc: 2.836 2.836 9.520
angles: 90.00 90.00 108.40
Sites, in units of the cell vectors:
Cd (0.000, 0.000, 0.506)
Mo (0.500, 0.500, 0.763)
Ta (0.000, 0.000, 0.992)
Ta (0.500, 0.500, 0.239)

Values from the calculation:
- ΔE_f: 0.154 eV per atom
- SG: No. 35

***

A plane-wave DFT calculation with PBE-GGA was carried out for a relaxed Ta2CdMo crystal.

abc: 3.296 3.296 6.710
angles: 90.00 90.00 90.00
Sites, in units of the cell vectors:
Cd (0.500, 0.500, 0.250)
Mo (0.500, 0.500, 0.750)
Ta (0.000, 0.000, 0.972)
Ta (0.000, 0.000, 0.528)

Values from the calculation:
- ΔE_f: 0.107 eV per atom
- SG: No. 123

***

A plane-wave DFT calculation with PBE-GGA was carried out for a relaxed Ta2CdMo crystal.

abc: 4.684 2.798 5.654
angles: 78.96 90.00 90.00
Sites, in units of the cell vectors:
Cd (0.000, 0.525, 0.502)
Mo (0.500, 0.747, 0.772)
Ta (0.000, 0.969, 0.993)
Ta (0.500, 0.258, 0.232)

Values from the calculation:
- ΔE_f: 0.231 eV per atom
- SG: No. 6

***

A plane-wave DFT calculation with PBE-GGA was carried out for a relaxed TaCdMo3 crystal.

abc: 4.780 4.780 4.780
angles: 90.00 90.00 90.00
Sites, in units of the cell vectors:
Mo (0.000, 0.500, 0.000)
Mo (0.000, 0.000, 0.500)
Mo (0.500, 0.000, 0.000)
Cd (0.000, 0.000, 0.000)
Ta (0.500, 0.500, 0.500)

Values from the calculation:
- ΔE_f: 2.557 eV per atom
- Distance to the lowest polymorph of the same formula: 0.8656 eV per atom
- SG: No. 221

***

A plane-wave DFT calculation with PBE-GGA was carried out for a relaxed Ta2CdMo crystal.

abc: 5.547 5.555 2.761
angles: 80.20 80.96 117.41
Sites, in units of the cell vectors:
Cd (0.000, 0.500, 0.500)
Mo (0.500, 0.500, 0.000)
Ta (0.000, 0.000, 0.000)
Ta (0.500, 0.000, 0.500)

Values from the calculation:
- ΔE_f: 0.246 eV per atom
- SG: No. 12

***

A plane-wave DFT calculation with PBE-GGA was carried out for a relaxed TaCd4Mo crystal.

abc: 5.450 5.450 5.450
angles: 60.00 60.00 60.00
Sites, in units of the cell vectors:
Ta (0.000, 0.000, 0.000)
Cd (0.874, 0.375, 0.375)
Cd (0.375, 0.375, 0.874)
Cd (0.375, 0.874, 0.375)
Cd (0.375, 0.375, 0.375)
Mo (0.750, 0.750, 0.750)

Values from the calculation:
- ΔE_f: 0.563 eV per atom
- SG: No. 216

***

A plane-wave DFT calculation with PBE-GGA was carried out for a relaxed TaCdMo2 crystal.

abc: 10.285 10.285 10.285
angles: 15.85 15.85 15.85
Sites, in units of the cell vectors:
Cd (0.748, 0.748, 0.748)
Mo (0.997, 0.997, 0.997)
Mo (0.252, 0.252, 0.252)
Ta (0.503, 0.503, 0.503)

Values from the calculation:
- ΔE_f: 0.419 eV per atom
- SG: No. 160

***

A plane-wave DFT calculation with PBE-GGA was carried out for a relaxed Ta2CdMo crystal.

abc: 2.782 2.782 9.426
angles: 90.00 90.00 90.00
Sites, in units of the cell vectors:
Cd (0.000, 0.000, 0.504)
Mo (0.500, 0.500, 0.752)
Ta (0.000, 0.000, 0.999)
Ta (0.500, 0.500, 0.245)

Values from the calculation:
- ΔE_f: 0.264 eV per atom
- SG: No. 99

***

A plane-wave DFT calculation with PBE-GGA was carried out for a relaxed TaCdMo2 crystal.

abc: 5.327 5.327 2.695
angles: 90.00 90.00 114.45
Sites, in units of the cell vectors:
Cd (0.000, 0.500, 0.500)
Mo (0.000, 0.000, 0.000)
Mo (0.500, 0.500, 0.000)
Ta (0.500, 0.000, 0.500)

Values from the calculation:
- ΔE_f: 0.368 eV per atom
- SG: No. 65

***

A plane-wave DFT calculation with PBE-GGA was carried out for a relaxed TaCdMo2 crystal.

abc: 4.070 4.075 4.138
angles: 90.00 90.00 90.00
Sites, in units of the cell vectors:
Cd (0.000, 0.500, 0.500)
Mo (0.000, 0.000, 0.000)
Mo (0.500, 0.500, 0.000)
Ta (0.500, 0.000, 0.500)

Values from the calculation:
- ΔE_f: 0.322 eV per atom
- SG: No. 123

***

A plane-wave DFT calculation with PBE-GGA was carried out for a relaxed TaCdMo2 crystal.

abc: 3.341 3.341 6.332
angles: 90.00 90.00 90.00
Sites, in units of the cell vectors:
Cd (0.500, 0.500, 0.750)
Mo (0.000, 0.000, 0.027)
Mo (0.000, 0.000, 0.473)
Ta (0.500, 0.500, 0.250)

Values from the calculation:
- ΔE_f: 0.278 eV per atom
- SG: No. 123

***

A plane-wave DFT calculation with PBE-GGA was carried out for a relaxed Ta2CdMo crystal.

abc: 3.347 3.347 6.507
angles: 90.00 90.00 90.00
Sites, in units of the cell vectors:
Cd (0.000, 0.000, 0.507)
Mo (0.500, 0.500, 0.775)
Ta (0.000, 0.000, 0.991)
Ta (0.500, 0.500, 0.227)

Values from the calculation:
- ΔE_f: 0.199 eV per atom
- SG: No. 99

***

A plane-wave DFT calculation with PBE-GGA was carried out for a relaxed Ta2CdMo crystal.

abc: 10.335 10.335 10.335
angles: 16.06 16.06 16.06
Sites, in units of the cell vectors:
Cd (0.498, 0.498, 0.498)
Mo (0.749, 0.749, 0.749)
Ta (0.002, 0.002, 0.002)
Ta (0.251, 0.251, 0.251)

Values from the calculation:
- ΔE_f: 0.361 eV per atom
- SG: No. 160

***

A plane-wave DFT calculation with PBE-GGA was carried out for a relaxed Ta2CdMo crystal.

abc: 5.302 5.302 5.302
angles: 141.37 127.98 66.64
Sites, in units of the cell vectors:
Cd (0.750, 0.250, 0.500)
Mo (0.250, 0.750, 0.500)
Ta (0.017, 0.017, 0.000)
Ta (0.483, 0.483, 0.000)

Values from the calculation:
- ΔE_f: 0.234 eV per atom
- SG: No. 71

***

A plane-wave DFT calculation with PBE-GGA was carried out for a relaxed Ta2CdMo crystal.

abc: 4.556 2.812 5.806
angles: 76.97 90.00 90.00
Sites, in units of the cell vectors:
Cd (0.500, 0.250, 0.250)
Mo (0.500, 0.750, 0.750)
Ta (0.000, 0.958, 0.980)
Ta (0.000, 0.542, 0.520)

Values from the calculation:
- ΔE_f: 0.193 eV per atom
- SG: No. 10

***

A plane-wave DFT calculation with PBE-GGA was carried out for a relaxed TaCdMo2 crystal.

abc: 3.254 3.254 6.686
angles: 90.00 90.00 90.00
Sites, in units of the cell vectors:
Cd (0.500, 0.500, 0.757)
Mo (0.000, 0.000, 0.031)
Mo (0.500, 0.500, 0.242)
Ta (0.000, 0.000, 0.469)

Values from the calculation:
- ΔE_f: 0.232 eV per atom
- SG: No. 99

***

A plane-wave DFT calculation with PBE-GGA was carried out for a relaxed TaCdMo2 crystal.

abc: 10.210 10.210 10.210
angles: 16.03 16.03 16.03
Sites, in units of the cell vectors:
Cd (0.750, 0.750, 0.750)
Mo (0.999, 0.999, 0.999)
Mo (0.501, 0.501, 0.501)
Ta (0.250, 0.250, 0.250)

Values from the calculation:
- ΔE_f: 0.421 eV per atom
- SG: No. 166

***

A plane-wave DFT calculation with PBE-GGA was carried out for a relaxed TaCdMo2 crystal.

abc: 7.388 7.388 5.923
angles: 51.42 51.42 90.00
Sites, in units of the cell vectors:
Mo (0.646, 0.125, 0.250)
Mo (0.104, 0.625, 0.250)
Mo (0.375, 0.354, 0.750)
Mo (0.875, 0.896, 0.750)
Cd (0.500, 0.500, 0.000)
Cd (0.250, 0.750, 0.500)
Ta (0.000, 0.000, 0.000)
Ta (0.750, 0.250, 0.500)

Values from the calculation:
- ΔE_f: 0.979 eV per atom
- SG: No. 122

***

A plane-wave DFT calculation with PBE-GGA was carried out for a relaxed Ta2CdMo crystal.

abc: 5.252 5.252 2.821
angles: 90.00 90.00 112.25
Sites, in units of the cell vectors:
Cd (0.500, 0.000, 0.500)
Mo (0.000, 0.500, 0.500)
Ta (0.000, 0.000, 0.000)
Ta (0.500, 0.500, 0.000)

Values from the calculation:
- ΔE_f: 0.318 eV per atom
- SG: No. 65

***

A plane-wave DFT calculation with PBE-GGA was carried out for a relaxed TaCdMo2 crystal.

abc: 2.784 2.784 9.432
angles: 90.00 90.00 107.39
Sites, in units of the cell vectors:
Cd (0.500, 0.500, 0.750)
Mo (0.000, 0.000, 0.010)
Mo (0.000, 0.000, 0.490)
Ta (0.500, 0.500, 0.250)

Values from the calculation:
- ΔE_f: 0.170 eV per atom
- SG: No. 65

***

A plane-wave DFT calculation with PBE-GGA was carried out for a relaxed TaCdMo2 crystal.

abc: 5.549 5.437 2.742
angles: 80.94 79.31 117.61
Sites, in units of the cell vectors:
Cd (0.500, 0.500, 0.000)
Mo (0.000, 0.000, 0.000)
Mo (0.500, 0.000, 0.500)
Ta (0.000, 0.500, 0.500)

Values from the calculation:
- ΔE_f: 0.289 eV per atom
- SG: No. 12

***

A plane-wave DFT calculation with PBE-GGA was carried out for a relaxed Ta2CdMo crystal.

abc: 3.683 4.476 4.333
angles: 90.00 90.00 90.00
Sites, in units of the cell vectors:
Cd (0.500, 0.000, 0.500)
Mo (0.000, 0.500, 0.500)
Ta (0.000, 0.000, 0.000)
Ta (0.500, 0.500, 0.000)

Values from the calculation:
- ΔE_f: 0.291 eV per atom
- SG: No. 47

***

A plane-wave DFT calculation with PBE-GGA was carried out for a relaxed TaCdMo2 crystal.

abc: 5.374 5.374 5.374
angles: 143.75 129.50 63.74
Sites, in units of the cell vectors:
Cd (0.250, 0.750, 0.500)
Mo (0.986, 0.986, 0.000)
Mo (0.514, 0.514, 0.000)
Ta (0.750, 0.250, 0.500)

Values from the calculation:
- ΔE_f: 0.352 eV per atom
- SG: No. 71

***

A plane-wave DFT calculation with PBE-GGA was carried out for a relaxed TaCdMo2 crystal.

abc: 2.724 2.724 9.480
angles: 90.00 90.00 90.00
Sites, in units of the cell vectors:
Cd (0.500, 0.500, 0.750)
Mo (0.000, 0.000, 0.002)
Mo (0.000, 0.000, 0.498)
Ta (0.500, 0.500, 0.250)

Values from the calculation:
- ΔE_f: 0.320 eV per atom
- SG: No. 123

***

A plane-wave DFT calculation with PBE-GGA was carried out for a relaxed TaCdMo2 crystal.

abc: 4.575 2.767 5.659
angles: 77.43 90.00 90.00
Sites, in units of the cell vectors:
Cd (0.500, 0.779, 0.753)
Mo (0.000, 0.012, 0.023)
Mo (0.500, 0.217, 0.241)
Ta (0.000, 0.492, 0.482)

Values from the calculation:
- ΔE_f: 0.247 eV per atom
- SG: No. 6

***

A plane-wave DFT calculation with PBE-GGA was carried out for a relaxed TaCdMo2 crystal.

abc: 2.811 2.811 9.400
angles: 90.00 90.00 109.27
Sites, in units of the cell vectors:
Cd (0.500, 0.500, 0.755)
Mo (0.000, 0.000, 0.018)
Mo (0.500, 0.500, 0.245)
Ta (0.000, 0.000, 0.482)

Values from the calculation:
- ΔE_f: 0.158 eV per atom
- SG: No. 35

***

A plane-wave DFT calculation with PBE-GGA was carried out for a relaxed Ta2TiCdMo crystal.

abc: 4.769 5.152 4.769
angles: 90.00 90.00 90.00
Sites, in units of the cell vectors:
Mo (0.000, 0.000, 0.000)
Cd (0.000, 0.500, 0.000)
Ti (0.500, 0.500, 0.500)
Ta (0.000, 0.000, 0.500)
Ta (0.500, 0.000, 0.000)

Values from the calculation:
- ΔE_f: 1.376 eV per atom
- SG: No. 123

***

A plane-wave DFT calculation with PBE-GGA was carried out for a relaxed CdTc3Mo crystal.

abc: 4.701 4.701 4.701
angles: 90.00 90.00 90.00
Sites, in units of the cell vectors:
Mo (0.500, 0.500, 0.500)
Tc (0.000, 0.500, 0.000)
Tc (0.000, 0.000, 0.500)
Tc (0.500, 0.000, 0.000)
Cd (0.000, 0.000, 0.000)

Values from the calculation:
- ΔE_f: 2.778 eV per atom
- Distance to the lowest polymorph of the same formula: 1.2370 eV per atom
- SG: No. 221

***

A plane-wave DFT calculation with PBE-GGA was carried out for a relaxed CdTcMo2 crystal.

abc: 7.359 7.359 5.873
angles: 51.21 51.21 90.00
Sites, in units of the cell vectors:
Mo (0.576, 0.125, 0.250)
Mo (0.174, 0.625, 0.250)
Mo (0.375, 0.424, 0.750)
Mo (0.875, 0.826, 0.750)
Tc (0.500, 0.500, 0.000)
Tc (0.250, 0.750, 0.500)
Cd (0.000, 0.000, 0.000)
Cd (0.750, 0.250, 0.500)

Values from the calculation:
- ΔE_f: 0.799 eV per atom
- SG: No. 122

***

A plane-wave DFT calculation with PBE-GGA was carried out for a relaxed CdTcMo2 crystal.

abc: 5.010 5.010 5.010
angles: 133.44 133.44 67.97
Sites, in units of the cell vectors:
Cd (0.750, 0.250, 0.500)
Mo (0.000, 0.000, 0.000)
Mo (0.500, 0.500, 0.000)
Tc (0.250, 0.750, 0.500)

Values from the calculation:
- ΔE_f: 0.449 eV per atom
- SG: No. 139